An optimized crystal structure of PmHoNp2P4. Source: the Alexandria database, functional PBE.

Cell: 6.9328 4.0011 6.9423 Å, 90.00 109.42 90.00°
With the nearest neighbours (Å) after each atom.
Sites, in units of the cell vectors:
Pm (0.0000, 0.0000, 0.0000)  6 P 2.89
Ho (0.5000, 0.5000, 0.0000)  6 P 2.85
Np (0.0000, 0.5000, 0.5000)  6 P 2.81
Np (0.5000, 0.0000, 0.5000)  6 P 2.77
P (0.2516, 0.0000, 0.7414)  3 Np 2.77-2.81, 2 Ho 2.85, 1 Pm 2.89
P (0.2585, 0.5000, 0.2621)  3 Np 2.77-2.81, 1 Ho 2.85, 2 Pm 2.89
P (0.7415, 0.5000, 0.7379)  3 Np 2.77-2.81, 1 Ho 2.85, 2 Pm 2.89
P (0.7484, 0.0000, 0.2586)  3 Np 2.77-2.81, 2 Ho 2.85, 1 Pm 2.89

For the density, the calculation gives 8300 kg/m3. The value obtained for the formation energy is -1.22 eV/atom. The magnetization is 7.3 μB per formula unit.